(1)
Crystalline NiSeN2O at its relaxed geometry. Source: the Alexandria database, functional GGA+U.

V	10.76	Å³/atom
VASP energy	-20.45	eV per cell
SG	P4/mmm (123)
crystal system	tetragonal

Unit cell a=3.7951 b=3.7951 c=3.7336 alpha=90.00 beta=90.00 gamma=90.00
Element x y z (fractional)
Ni: 0.5000 0.5000 0.5000
O: 0.0000 0.0000 0.5000
Se: 0.0000 0.0000 0.0000
N: 0.0000 0.5000 0.0000
N: 0.5000 0.0000 0.0000



(2)
Crystalline NiSeNO2 at its relaxed geometry. Source: the Alexandria database, functional GGA+U.

V	11.08	Å³/atom
VASP energy	-20.92	eV per cell
SG	P4/mmm (123)
crystal system	tetragonal

Unit cell a=3.7264 b=3.7264 c=3.9901 alpha=90.00 beta=90.00 gamma=90.00
Element x y z (fractional)
Ni: 0.5000 0.5000 0.5000
O: 0.0000 0.5000 0.0000
O: 0.5000 0.0000 0.0000
Se: 0.0000 0.0000 0.0000
N: 0.0000 0.0000 0.5000



(3)
Crystalline NiSeN2O at its relaxed geometry. Source: the Alexandria database, functional GGA+U.

V	10.53	Å³/atom
VASP energy	-20.33	eV per cell
SG	P4/mmm (123)
crystal system	tetragonal

Unit cell a=3.7979 b=3.7979 c=3.6504 alpha=90.00 beta=90.00 gamma=90.00
Element x y z (fractional)
Ni: 0.0000 0.0000 0.0000
O: 0.0000 0.0000 0.5000
Se: 0.5000 0.5000 0.5000
N: 0.0000 0.5000 0.0000
N: 0.5000 0.0000 0.0000



(4)
Crystalline NiSeN2O at its relaxed geometry. Source: the Alexandria database, functional GGA+U.

V	11.77	Å³/atom
VASP energy	-16.55	eV per cell
SG	P4/mmm (123)
crystal system	tetragonal

Unit cell a=3.8540 b=3.8540 c=3.9637 alpha=90.00 beta=90.00 gamma=90.00
Element x y z (fractional)
Ni: 0.5000 0.5000 0.5000
O: 0.0000 0.0000 0.0000
Se: 0.0000 0.0000 0.5000
N: 0.0000 0.5000 0.0000
N: 0.5000 0.0000 0.0000



(5)
Crystalline SiNiN2O at its relaxed geometry. Source: the Alexandria database, functional GGA+U.

V	9.19	Å³/atom
VASP energy	-28.46	eV per cell
SG	P4/mmm (123)
crystal system	tetragonal

Unit cell a=3.6164 b=3.6164 c=3.5145 alpha=90.00 beta=90.00 gamma=90.00
Element x y z (fractional)
Ni: 0.5000 0.5000 0.5000
Si: 0.0000 0.0000 0.0000
O: 0.0000 0.0000 0.5000
N: 0.0000 0.5000 0.0000
N: 0.5000 0.0000 0.0000



(6)
Crystalline SiNiN2O at its relaxed geometry. Source: the Alexandria database, functional GGA+U.

V	10.05	Å³/atom
VASP energy	-23.09	eV per cell
SG	P4/mmm (123)
crystal system	tetragonal

Unit cell a=3.7245 b=3.7245 c=3.6209 alpha=90.00 beta=90.00 gamma=90.00
Element x y z (fractional)
Ni: 0.0000 0.0000 0.0000
Si: 0.5000 0.5000 0.5000
O: 0.0000 0.0000 0.5000
N: 0.0000 0.5000 0.0000
N: 0.5000 0.0000 0.0000



(7)
Crystalline Ni2SnNO at its relaxed geometry. Source: the Alexandria database, functional GGA+U.

V	19.29	Å³/atom
VASP energy	-14.25	eV per cell
SG	P4/mmm (123)
crystal system	tetragonal

Unit cell a=4.9621 b=3.9166 c=4.9621 alpha=90.00 beta=90.00 gamma=90.00
Element x y z (fractional)
Ni: 0.0000 0.0000 0.5000
Ni: 0.5000 0.0000 0.0000
Sn: 0.0000 0.0000 0.0000
O: 0.5000 0.5000 0.5000
N: 0.0000 0.5000 0.0000



(8)
Crystalline SrNiNO2 at its relaxed geometry. Source: the Alexandria database, functional GGA+U.

V	20.30	Å³/atom
VASP energy	-17.63	eV per cell
SG	P4/mmm (123)
crystal system	tetragonal

Unit cell a=4.6085 b=4.6085 c=4.7780 alpha=90.00 beta=90.00 gamma=90.00
Element x y z (fractional)
Sr: 0.0000 0.0000 0.0000
N: 0.0000 0.0000 0.5000
O: 0.0000 0.5000 0.0000
O: 0.5000 0.0000 0.0000
Ni: 0.5000 0.5000 0.5000